Record 1
The following is a PBE-GGA calculation of an optimized crystal structure of Li2Y5In9, from the Alexandria database.

Values from the calculation:
- final energy (eV per atom) = -4.269

Lattice parameters (Å, degrees): 10.184 10.184 15.253 90.00 90.00 90.00
Atoms (fractional coordinates):
In (0.000, 0.241, 0.979)
In (0.500, 0.713, 0.232)
In (0.500, 0.700, 0.732)
In (0.271, 0.000, 0.526)
In (0.000, 0.787, 0.768)
In (0.771, 0.500, 0.474)
In (0.241, 0.000, 0.021)
In (0.500, 0.741, 0.021)
In (0.700, 0.500, 0.268)
In (0.200, 0.000, 0.732)
In (0.000, 0.271, 0.474)
In (0.713, 0.500, 0.768)
In (0.500, 0.287, 0.232)
In (0.000, 0.800, 0.268)
In (0.729, 0.000, 0.526)
In (0.500, 0.000, 0.904)
In (0.000, 0.213, 0.768)
In (0.300, 0.500, 0.268)
In (0.787, 0.000, 0.232)
In (0.759, 0.000, 0.021)
In (0.500, 0.000, 0.373)
In (0.800, 0.000, 0.732)
In (0.000, 0.200, 0.268)
In (0.213, 0.000, 0.232)
In (0.500, 0.771, 0.526)
In (0.000, 0.759, 0.979)
In (0.259, 0.500, 0.979)
In (0.287, 0.500, 0.768)
In (0.500, 0.229, 0.526)
In (0.000, 0.729, 0.474)
In (0.000, 0.500, 0.627)
In (0.229, 0.500, 0.474)
In (0.500, 0.259, 0.021)
In (0.000, 0.500, 0.096)
In (0.741, 0.500, 0.979)
In (0.500, 0.300, 0.732)
Li (0.000, 0.000, 0.894)
Li (0.500, 0.500, 0.592)
Li (0.500, 0.500, 0.408)
Li (0.000, 0.000, 0.592)
Li (0.500, 0.500, 0.106)
Li (0.500, 0.500, 0.894)
Li (0.000, 0.000, 0.106)
Li (0.000, 0.000, 0.408)
Y (0.500, 0.000, 0.155)
Y (0.221, 0.279, 0.627)
Y (0.717, 0.783, 0.872)
Y (0.279, 0.779, 0.373)
Y (0.279, 0.221, 0.373)
Y (0.217, 0.717, 0.128)
Y (0.783, 0.717, 0.128)
Y (0.500, 0.000, 0.692)
Y (0.779, 0.721, 0.627)
Y (0.283, 0.217, 0.872)
Y (0.783, 0.283, 0.128)
Y (0.721, 0.779, 0.373)
Y (0.217, 0.283, 0.128)
Y (0.721, 0.221, 0.373)
Y (0.221, 0.721, 0.627)
Y (0.779, 0.279, 0.627)
Y (0.717, 0.217, 0.872)
Y (0.000, 0.500, 0.308)
Y (0.283, 0.783, 0.872)
Y (0.000, 0.500, 0.845)

***

Record 2
The following is a PBE-GGA calculation of an optimized crystal structure of LiY3In3, from the Alexandria database.

Values from the calculation:
- final energy (eV per atom) = -4.625

Lattice parameters (Å, degrees): 4.637 6.117 14.381 83.76 80.72 67.73
Atoms (fractional coordinates):
In (0.134, 0.284, 0.447)
In (0.028, 0.181, 0.764)
In (0.121, 0.832, 0.926)
In (0.972, 0.819, 0.236)
In (0.879, 0.168, 0.074)
In (0.866, 0.716, 0.553)
Li (0.242, 0.915, 0.602)
Li (0.758, 0.085, 0.398)
Y (0.738, 0.746, 0.779)
Y (0.538, 0.309, 0.615)
Y (0.597, 0.725, 0.081)
Y (0.403, 0.275, 0.919)
Y (0.462, 0.691, 0.385)
Y (0.262, 0.254, 0.221)

***

Record 3
The following is a PBE-GGA calculation of an optimized crystal structure of LiYIn, from the Alexandria database.

Values from the calculation:
- final energy (eV per atom) = -3.929
- offset from the most stable computed form (meV/atom) = 130

Lattice parameters (Å, degrees): 6.160 6.160 3.582 73.09 73.11 33.80
Atoms (fractional coordinates):
Y (0.664, 0.664, 0.336)
Li (0.358, 0.358, 0.642)
In (0.977, 0.977, 0.023)

***

no.,ΔH_f (0 K) (kJ/mol of formula units)
1,-724
2,-275
3,-65